Entry 1:
Entry from Alexandria: crystalline VNiRh6 at its relaxed geometry (PBE).

Structure (extended XYZ):
```
8
Lattice="-2.1910 -2.9330 -1.0961 -1.3146 -0.3524 3.5710 -7.3228 3.1090 -0.3440" Properties=species:S:1:pos:R:3 pbc="T T T"
V 0.0000 0.0000 0.0000
Ni -1.7528 -1.6427 1.2375
Rh -6.3414 -0.8664 1.6697
Rh -7.0980 0.5163 -0.5172
Rh -6.6599 1.8064 1.8163
Rh -3.7305 -0.6928 2.6481
Rh -4.4871 0.6900 0.4612
Rh -4.1685 -1.9829 0.3146
```

magnetic moment	0.0	μB/cell
DFT formation energy	-0.18	eV/atom
volume	109.4	Å³/cell

Entry 2:
Entry from Alexandria: crystalline CrPd3Cl at its relaxed geometry (PBE).

Structure (extended XYZ):
```
5
Lattice="4.5382 0.0000 0.0000 0.0000 4.5382 0.0000 0.0000 0.0000 4.5382" Properties=species:S:1:pos:R:3 pbc="T T T"
Cr 2.2691 2.2691 2.2691
Pd 0.0000 2.2691 0.0000
Pd 0.0000 0.0000 2.2691
Pd 2.2691 0.0000 0.0000
Cl 0.0000 0.0000 0.0000
```

magnetic moment	4.9	μB/cell
ΔE_f (raw)	0.565	eV/atom
volume	93.5	Å³/cell

Entry 3:
Entry from Alexandria: crystalline Ce2CdPt9 at its relaxed geometry (PBE).

Structure (extended XYZ):
```
12
Lattice="5.4121 0.0000 0.0000 2.7061 4.6870 0.0000 2.7061 1.5623 8.9459" Properties=species:S:1:pos:R:3 pbc="T T T"
Ce 8.1182 4.6870 3.6632
Ce 2.7061 1.5623 5.2828
Cd 0.0000 0.0000 0.0000
Pt 8.1182 4.6870 8.9153
Pt 2.7061 1.5623 0.0306
Pt 5.4121 3.1247 4.4730
Pt 4.0432 2.3343 2.2842
Pt 6.7811 2.3343 2.2842
Pt 5.4121 4.7054 2.2842
Pt 6.7811 3.9151 6.6617
Pt 5.4121 1.5439 6.6617
Pt 4.0432 3.9151 6.6617
```

magnetic moment	1.0	μB/cell
DFT formation energy	-0.64	eV/atom
volume	226.9	Å³/cell

Entry 4:
Entry from Alexandria: crystalline Ti7CuPd3 at its relaxed geometry (PBE).

Structure (extended XYZ):
```
11
Lattice="-2.7769 -2.7557 2.4139 6.2039 -2.6543 -0.2684 2.9597 4.4584 4.1192" Properties=species:S:1:pos:R:3 pbc="T T T"
Ti 1.3552 -0.1999 1.3260
Ti 1.2043 1.6254 3.2430
Ti 3.4156 1.2966 5.4111
Ti 2.9710 -2.2481 0.8536
Ti 4.5818 0.9021 1.9254
Ti 5.1824 -2.5769 3.0217
Ti 5.0315 -0.7516 4.9387
Cu 3.1933 -0.4758 3.1324
Pd 5.5418 -1.2028 0.6270
Pd -1.3885 -1.3778 1.2070
Pd 3.6217 3.0069 3.2238
```

magnetic moment	0.1	μB/cell
DFT formation energy	-0.04	eV/atom
volume	185.4	Å³/cell

Entry 5:
Entry from Alexandria: crystalline TcPt3Se at its relaxed geometry (PBE).

Structure (extended XYZ):
```
5
Lattice="4.8023 0.0000 0.0000 0.0000 4.8023 0.0000 0.0000 0.0000 4.8023" Properties=species:S:1:pos:R:3 pbc="T T T"
Se 2.4012 2.4012 2.4012
Tc 0.0000 0.0000 0.0000
Pt 0.0000 2.4012 0.0000
Pt 0.0000 0.0000 2.4012
Pt 2.4012 0.0000 0.0000
```

magnetic moment	0.0	μB/cell
ΔE_f (raw)	1.330	eV/atom
volume	110.8	Å³/cell

Entry 6:
Entry from Alexandria: crystalline BaZn2Sb at its relaxed geometry (PBE).

Structure (extended XYZ):
```
4
Lattice="5.6622 -0.0729 0.0012 1.0205 5.5699 -0.0012 -2.8602 -3.3335 3.5739" Properties=species:S:1:pos:R:3 pbc="T T T"
Ba 3.0717 -0.3289 1.7876
Sb 0.7508 2.4925 1.7863
Zn 0.2302 0.1893 0.0000
Zn 3.1112 2.5592 0.0000
```

magnetic moment	0.0	μB/cell
ΔE_f (raw)	-0.231	eV/atom
volume	113.0	Å³/cell

Entry 7:
Entry from Alexandria: crystalline Ti3PtO at its relaxed geometry (PBE).

Structure (extended XYZ):
```
10
Lattice="15.4346 0.0000 -2.1066 6.1365 1.8167 -3.7091 -6.1365 1.8167 3.7091" Properties=species:S:1:pos:R:3 pbc="T T T"
O 15.5869 1.8167 -4.9077
O -0.1524 1.8167 2.8011
Pt 7.8750 1.8167 1.6994
Pt 7.5596 1.8167 -3.8060
Ti 6.3347 1.8167 -1.4705
Ti 9.0999 1.8167 -0.6361
Ti -2.0845 1.8167 2.2553
Ti 17.5191 1.8167 -4.3619
Ti 12.3949 1.8167 -2.6664
Ti 3.0397 1.8167 0.5597
```

magnetic moment	0.0	μB/cell
ΔE_f (raw)	-1.214	eV/atom
volume	161.0	Å³/cell

Entry 8:
Entry from Alexandria: crystalline LiZn5Au4 at its relaxed geometry (PBE).

Structure (extended XYZ):
```
20
Lattice="-1.7525 -0.6349 -4.4230 -2.4894 -6.9264 1.9807 -8.1541 3.7025 2.6994" Properties=species:S:1:pos:R:3 pbc="T T T"
Li -1.6537 -0.5991 -4.1737
Li -5.4205 -1.6477 2.0907
Zn -8.4873 -3.1499 2.4964
Zn -6.8725 1.3431 1.2116
Zn -2.5091 -3.9213 -2.2008
Zn -4.6584 -4.8885 1.2288
Zn -3.0436 -0.3955 -0.0560
Zn -4.9053 -4.2847 -1.3312
Zn -4.0307 -1.8514 -2.0270
Zn -4.5652 1.6744 0.1178
Zn -8.3559 0.1125 -0.5952
Zn -9.2304 -2.3208 0.1007
Au -6.8628 1.9869 -1.6771
Au -2.8238 -5.9304 -0.3957
Au -1.2577 -1.5728 -1.6418
Au -4.0578 0.7133 -2.6056
Au -3.0164 -2.9601 0.5226
Au -6.7398 -3.2428 0.2933
Au -5.8166 -0.6741 -0.4412
Au -8.3656 -0.5313 2.2935
```

magnetic moment	0.0	μB/cell
DFT formation energy	-0.21	eV/atom
volume	342.2	Å³/cell

- volume of number 1 (VNiRh6)?
  109.4 Å³/cell

- The highest magnetic moment belongs to which entry?
  CrPd3Cl

- The lowest volume belongs to which entry?
  CrPd3Cl